{"formula": "ScNi3H", "functional": "PBE", "state": "relaxed", "cell": [[4.4904, 0.0000, 0.0000], [0.0000, 4.4904, 0.0000], [0.0000, 0.0000, 4.4904]], "species": ["Sc", "Ni", "Ni", "Ni", "H"], "fractional_positions": [[0.0000, 0.0000, 0.0000], [0.0000, 0.0000, 0.5000], [0.0000, 0.5000, 0.0000], [0.5000, 0.0000, 0.0000], [0.5000, 0.5000, 0.5000]], "dos_ef_per_ev_cell": 1.228, "de_polymorph_mev_per_atom": 2054.0}


{"formula": "CsSb2Au3", "functional": "PBE", "state": "relaxed", "cell": [[8.7838, -2.2341, 0.0000], [8.7838, 2.2341, 0.0000], [-3.1892, 0.0000, 9.1791]], "species": ["Cs", "Cs", "Sb", "Sb", "Sb", "Sb", "Au", "Au", "Au", "Au", "Au", "Au"], "fractional_positions": [[0.1306, 0.1306, 0.0490], [0.8694, 0.8694, 0.9510], [0.1990, 0.1990, 0.7087], [0.4789, 0.4789, 0.7414], [0.5211, 0.5211, 0.2586], [0.8010, 0.8010, 0.2913], [0.0707, 0.0707, 0.4268], [0.3079, 0.3079, 0.5735], [0.3960, 0.3960, 0.3711], [0.6040, 0.6040, 0.6289], [0.6921, 0.6921, 0.4265], [0.9293, 0.9293, 0.5732]], "formation_energy_uncorrected_ev_per_fu": -1.22, "dos_ef_per_ev_cell": 6.842, "de_polymorph_mev_per_atom": 3.1}


{"formula": "YHoTmAg", "functional": "PBE", "state": "relaxed", "cell": [[3.5401, 0.0000, 0.0000], [0.0000, 3.5401, 0.0000], [0.0000, 0.0000, 8.8278]], "species": ["Y", "Ho", "Tm", "Ag"], "fractional_positions": [[0.0000, 0.0000, 0.0000], [0.5000, 0.5000, 0.2879], [0.0000, 0.0000, 0.5695], [0.5000, 0.5000, 0.7755]], "dos_ef_per_ev_cell": 4.610, "delta_e_f_ev_per_atom": -0.135}


{"formula": "TcTePd2Pt", "functional": "PBE", "state": "relaxed", "cell": [[4.9800, 0.0000, 0.0000], [0.0000, 4.9800, 0.0000], [0.0000, 0.0000, 4.6805]], "species": ["Tc", "Te", "Pd", "Pd", "Pt"], "fractional_positions": [[0.0000, 0.0000, 0.0000], [0.5000, 0.5000, 0.0000], [0.0000, 0.5000, 0.5000], [0.5000, 0.0000, 0.5000], [0.0000, 0.0000, 0.5000]], "formation_energy_uncorrected_ev_per_fu": 5.27, "dos_ef_per_ev_cell": 6.444, "de_polymorph_mev_per_atom": 52.4}


{"formula": "Cr2TcSe", "functional": "PBE", "state": "relaxed", "cell": [[-1.7868, 1.7868, 4.2650], [1.7868, -1.7868, 4.2650], [1.7868, 1.7868, -4.2650]], "species": ["Cr", "Cr", "Tc", "Se"], "fractional_positions": [[0.0000, 0.0000, 0.0000], [0.7500, 0.2500, 0.5000], [0.5000, 0.5000, 0.0000], [0.2500, 0.7500, 0.5000]], "formation_energy_uncorrected_ev_per_fu": 1.40, "dos_ef_per_ev_cell": 4.458}


{"formula": "KPa4", "functional": "PBE", "state": "relaxed", "cell": [[5.1787, 0.0000, 0.0000], [0.0000, 5.1787, 0.0000], [0.0000, 0.0000, 5.1787]], "species": ["K", "Pa", "Pa", "Pa", "Pa"], "fractional_positions": [[0.0000, 0.0000, 0.0000], [0.0000, 0.0000, 0.5000], [0.0000, 0.5000, 0.0000], [0.5000, 0.0000, 0.0000], [0.5000, 0.5000, 0.5000]], "dos_ef_per_ev_cell": 10.862, "delta_e_f_ev_per_atom": 1.924}


{"formula": "NaLi2Cd4", "functional": "PBE", "state": "relaxed", "cell": [[0.0000, 6.9666, 6.9666], [6.9666, 0.0000, 6.9666], [6.9666, 6.9666, 0.0000]], "species": ["Na", "Na", "Na", "Na", "Li", "Li", "Li", "Li", "Li", "Li", "Li", "Li", "Cd", "Cd", "Cd", "Cd", "Cd", "Cd", "Cd", "Cd", "Cd", "Cd", "Cd", "Cd", "Cd", "Cd", "Cd", "Cd"], "fractional_positions": [[0.0000, 0.0000, 0.0000], [0.0000, 0.0000, 0.5000], [0.0000, 0.5000, 0.0000], [0.5000, 0.0000, 0.0000], [0.2573, 0.2573, 0.2573], [0.2573, 0.2573, 0.7282], [0.2573, 0.7282, 0.2573], [0.2718, 0.7427, 0.7427], [0.7282, 0.2573, 0.2573], [0.7427, 0.2718, 0.7427], [0.7427, 0.7427, 0.2718], [0.7427, 0.7427, 0.7427], [0.0000, 0.5000, 0.5000], [0.1266, 0.1266, 0.6234], [0.1266, 0.6234, 0.1266], [0.1266, 0.6234, 0.6234], [0.3766, 0.3766, 0.8734], [0.3766, 0.8734, 0.3766], [0.3766, 0.8734, 0.8734], [0.5000, 0.0000, 0.5000], [0.5000, 0.5000, 0.0000], [0.5000, 0.5000, 0.5000], [0.6234, 0.1266, 0.1266], [0.6234, 0.1266, 0.6234], [0.6234, 0.6234, 0.1266], [0.8734, 0.3766, 0.3766], [0.8734, 0.3766, 0.8734], [0.8734, 0.8734, 0.3766]], "dos_ef_per_ev_cell": 6.675, "delta_e_f_ev_per_atom": -0.057}


{"formula": "PmSm3Ga4", "functional": "PBE", "state": "relaxed", "cell": [[5.1633, 0.0000, 0.0000], [0.0000, 5.1633, 0.0000], [0.0000, 0.0000, 7.3174]], "species": ["Pm", "Sm", "Sm", "Sm", "Ga", "Ga", "Ga", "Ga"], "fractional_positions": [[0.0000, 0.0000, 0.0000], [0.0000, 0.0000, 0.5000], [0.5000, 0.5000, 0.0000], [0.5000, 0.5000, 0.5000], [0.0000, 0.5000, 0.2511], [0.0000, 0.5000, 0.7489], [0.5000, 0.0000, 0.2511], [0.5000, 0.0000, 0.7489]], "dos_ef_per_ev_cell": 3.125, "de_polymorph_mev_per_atom": 0.0, "delta_e_f_ev_per_atom": -0.571}


{"formula": "LiLa2Ti2", "functional": "PBE", "state": "relaxed", "cell": [[8.9406, 0.0000, 0.0000], [0.0000, 8.9406, 0.0000], [0.0000, 0.0000, 3.2923]], "species": ["Li", "Li", "La", "La", "La", "La", "Ti", "Ti", "Ti", "Ti"], "fractional_positions": [[0.0000, 0.0000, 0.0000], [0.5000, 0.5000, 0.0000], [0.1962, 0.3038, 0.5000], [0.3038, 0.8038, 0.5000], [0.6962, 0.1962, 0.5000], [0.8038, 0.6962, 0.5000], [0.1020, 0.6020, 0.0000], [0.3980, 0.1020, 0.0000], [0.6020, 0.8980, 0.0000], [0.8980, 0.3980, 0.0000]], "dos_ef_per_ev_cell": 14.925, "delta_e_f_ev_per_atom": 0.381}


{"formula": "Y6Ho8Pb", "functional": "PBE", "state": "relaxed", "cell": [[9.1594, 0.0000, 0.0000], [-4.5797, 7.9323, 0.0000], [0.0000, 0.0000, 6.7368]], "species": ["Y", "Y", "Y", "Y", "Y", "Y", "Ho", "Ho", "Ho", "Ho", "Ho", "Ho", "Ho", "Ho", "Pb"], "fractional_positions": [[0.0823, 0.6827, 0.1049], [0.3173, 0.3995, 0.1049], [0.3995, 0.0823, 0.8951], [0.6005, 0.9177, 0.1049], [0.6827, 0.6005, 0.8951], [0.9177, 0.3173, 0.8951], [0.0142, 0.3284, 0.3905], [0.3142, 0.9858, 0.3905], [0.3284, 0.3142, 0.6095], [0.3333, 0.6667, 0.6829], [0.6667, 0.3333, 0.3171], [0.6716, 0.6858, 0.3905], [0.6858, 0.0142, 0.6095], [0.9858, 0.6716, 0.6095], [0.0000, 0.0000, 0.0000]], "dos_ef_per_ev_cell": 21.350, "delta_e_f_ev_per_atom": 0.178}


{"formula": "NdDy2NpAs4", "functional": "PBE", "state": "relaxed", "cell": [[7.1866, 0.0000, 0.0000], [0.0000, 4.1483, 0.0000], [-2.3830, 0.0000, 6.7917]], "species": ["Nd", "Dy", "Dy", "Np", "As", "As", "As", "As"], "fractional_positions": [[0.0000, 0.0000, 0.0000], [0.5000, 0.0000, 0.5000], [0.5000, 0.5000, 0.0000], [0.0000, 0.5000, 0.5000], [0.2516, 0.0000, 0.7451], [0.2544, 0.5000, 0.2585], [0.7456, 0.5000, 0.7415], [0.7484, 0.0000, 0.2549]], "dos_ef_per_ev_cell": 11.592, "delta_e_f_ev_per_atom": -1.302}


{"formula": "Ce2Dy2Bi5", "functional": "PBE", "state": "relaxed", "cell": [[7.9754, -4.2065, 0.0000], [7.9754, 4.2065, 0.0000], [0.0000, 0.0000, 8.4605]], "species": ["Ce", "Ce", "Ce", "Ce", "Dy", "Dy", "Dy", "Dy", "Bi", "Bi", "Bi", "Bi", "Bi", "Bi", "Bi", "Bi", "Bi", "Bi"], "fractional_positions": [[0.1927, 0.1927, 0.0000], [0.3073, 0.3073, 0.5000], [0.6927, 0.6927, 0.5000], [0.8073, 0.8073, 0.0000], [0.1511, 0.8489, 0.6541], [0.3489, 0.6511, 0.1541], [0.6511, 0.3489, 0.8459], [0.8489, 0.1511, 0.3459], [0.0000, 0.0000, 0.0000], [0.0158, 0.7073, 0.3477], [0.2073, 0.5158, 0.8477], [0.2927, 0.9842, 0.3477], [0.4842, 0.7927, 0.8477], [0.5000, 0.5000, 0.5000], [0.5158, 0.2073, 0.1523], [0.7073, 0.0158, 0.6523], [0.7927, 0.4842, 0.1523], [0.9842, 0.2927, 0.6523]], "dos_ef_per_ev_cell": 19.021, "delta_e_f_ev_per_atom": -0.668}


{"formula": "In4SnPd7", "functional": "PBE", "state": "relaxed", "cell": [[5.4335, -2.4842, 0.0000], [5.4335, 2.4842, 0.0000], [-4.7912, 0.0000, 8.5341]], "species": ["In", "In", "In", "In", "Sn", "Pd", "Pd", "Pd", "Pd", "Pd", "Pd", "Pd"], "fractional_positions": [[0.0906, 0.0906, 0.2731], [0.2595, 0.2595, 0.8390], [0.7405, 0.7405, 0.1610], [0.9094, 0.9094, 0.7269], [0.5000, 0.5000, 0.5000], [0.0000, 0.0000, 0.5000], [0.1365, 0.1365, 0.0219], [0.2919, 0.2919, 0.5839], [0.4292, 0.4292, 0.1765], [0.5708, 0.5708, 0.8235], [0.7081, 0.7081, 0.4161], [0.8635, 0.8635, 0.9781]], "dos_ef_per_ev_cell": 5.039, "delta_e_f_ev_per_atom": -0.359}


{"formula": "LiZrP2Cl", "functional": "PBE", "state": "relaxed", "cell": [[5.0196, 0.0000, 0.0000], [0.0000, 5.0196, 0.0000], [0.0000, 0.0000, 5.2490]], "species": ["Li", "Zr", "P", "P", "Cl"], "fractional_positions": [[0.0000, 0.0000, 0.0000], [0.5000, 0.5000, 0.5000], [0.0000, 0.5000, 0.5000], [0.5000, 0.0000, 0.5000], [0.5000, 0.5000, 0.0000]], "formation_energy_uncorrected_ev_per_fu": -2.00, "dos_ef_per_ev_cell": 2.405, "de_polymorph_mev_per_atom": 0.0}


{"formula": "CePd8Au6", "functional": "PBE", "state": "relaxed", "cell": [[7.7891, 0.0000, 0.0000], [-3.8946, 6.7456, 0.0000], [0.0000, 0.0000, 5.0995]], "species": ["Ce", "Pd", "Pd", "Pd", "Pd", "Pd", "Pd", "Pd", "Pd", "Au", "Au", "Au", "Au", "Au", "Au"], "fractional_positions": [[0.0000, 0.0000, 0.0000], [0.0483, 0.7646, 0.3192], [0.2354, 0.2837, 0.3192], [0.2837, 0.0483, 0.6808], [0.3333, 0.6667, 0.2909], [0.6667, 0.3333, 0.7091], [0.7163, 0.9517, 0.3192], [0.7646, 0.7163, 0.6808], [0.9517, 0.2354, 0.6808], [0.1057, 0.6430, 0.8070], [0.3570, 0.4627, 0.8070], [0.4627, 0.1057, 0.1930], [0.5373, 0.8943, 0.8070], [0.6430, 0.5373, 0.1930], [0.8943, 0.3570, 0.1930]], "dos_ef_per_ev_cell": 4.895, "delta_e_f_ev_per_atom": -0.170}


{"formula": "SbRuSe2N", "functional": "PBE", "state": "relaxed", "cell": [[5.3495, 0.0000, 0.0000], [0.0000, 5.3495, 0.0000], [0.0000, 0.0000, 3.8441]], "species": ["Sb", "Ru", "Se", "Se", "N"], "fractional_positions": [[0.0000, 0.0000, 0.0000], [0.5000, 0.5000, 0.5000], [0.0000, 0.5000, 0.0000], [0.5000, 0.0000, 0.0000], [0.0000, 0.0000, 0.5000]], "formation_energy_uncorrected_ev_per_fu": 6.95, "dos_ef_per_ev_cell": 7.443, "de_polymorph_mev_per_atom": 1112.5}


{"formula": "Sr2YIr", "functional": "PBE", "state": "relaxed", "cell": [[3.6489, 0.0000, 0.0000], [0.0000, 3.6489, 0.0000], [0.0000, 0.0000, 10.0332]], "species": ["Sr", "Sr", "Y", "Ir"], "fractional_positions": [[0.0000, 0.0000, 0.0000], [0.5000, 0.5000, 0.3563], [0.0000, 0.0000, 0.6681], [0.5000, 0.5000, 0.7991]], "dos_ef_per_ev_cell": 2.348, "de_polymorph_mev_per_atom": 59.9, "delta_e_f_ev_per_atom": -0.232}


{"formula": "Cd5SnHg8", "functional": "PBE", "state": "relaxed", "cell": [[-4.4718, 4.4718, 4.4566], [4.4718, -4.4718, 4.4566], [4.4718, 4.4718, -4.4566]], "species": ["Cd", "Cd", "Cd", "Cd", "Cd", "Sn", "Hg", "Hg", "Hg", "Hg", "Hg", "Hg", "Hg", "Hg"], "fractional_positions": [[0.0000, 0.0000, 0.0000], [0.2459, 0.1201, 0.6196], [0.3737, 0.7541, 0.8741], [0.5004, 0.6263, 0.3804], [0.8799, 0.4996, 0.1259], [0.7500, 0.2500, 0.5000], [0.1279, 0.3749, 0.4119], [0.1321, 0.3756, 0.9114], [0.2840, 0.8721, 0.2470], [0.4642, 0.2207, 0.0886], [0.6244, 0.5358, 0.7565], [0.6251, 0.0371, 0.7530], [0.7793, 0.8679, 0.2435], [0.9629, 0.7160, 0.5881]], "dos_ef_per_ev_cell": 3.173, "delta_e_f_ev_per_atom": 0.036}


{"formula": "BiCI2O", "functional": "PBE", "state": "relaxed", "cell": [[6.2102, 0.0000, 0.0000], [0.0000, 6.2102, 0.0000], [0.0000, 0.0000, 4.2577]], "species": ["Bi", "C", "I", "I", "O"], "fractional_positions": [[0.0000, 0.0000, 0.0000], [0.5000, 0.5000, 0.5000], [0.0000, 0.5000, 0.0000], [0.5000, 0.0000, 0.0000], [0.0000, 0.0000, 0.5000]], "formation_energy_uncorrected_ev_per_fu": 6.15, "dos_ef_per_ev_cell": 4.847, "de_polymorph_mev_per_atom": 204.3}


{"formula": "TlH6PtRh", "functional": "PBE", "state": "relaxed", "cell": [[2.4428, -4.2455, 0.0000], [2.4428, 4.2455, 0.0000], [-0.0171, 0.0000, 5.1259]], "species": ["Tl", "H", "H", "H", "H", "H", "H", "Pt", "Rh"], "fractional_positions": [[0.0000, 0.0000, 0.0000], [0.3505, 0.0008, 0.3532], [0.3508, 0.3472, 0.6462], [0.6521, 0.0043, 0.6472], [0.6528, 0.6492, 0.3538], [0.9957, 0.3479, 0.3528], [0.9992, 0.6494, 0.6468], [0.6665, 0.3335, 0.5000], [0.3338, 0.6662, 0.5000]], "dos_ef_per_ev_cell": 2.940, "total_energy_ev_per_atom": -3.927}


{"formula": "LuCd2Ga", "functional": "PBE", "state": "relaxed", "cell": [[1.6093, 0.9291, 10.9159], [-1.6093, 0.9291, 10.9159], [0.0000, -1.8583, 10.9159]], "species": ["Lu", "Cd", "Cd", "Ga"], "fractional_positions": [[0.0000, 0.0000, 0.0000], [0.0939, 0.0939, 0.0939], [0.9061, 0.9061, 0.9061], [0.5000, 0.5000, 0.5000]], "dos_ef_per_ev_cell": 2.288, "de_polymorph_mev_per_atom": 465.3, "delta_e_f_ev_per_atom": 0.173}


{"formula": "Ho3PuSc2Se6", "functional": "PBE", "state": "relaxed", "cell": [[8.7413, -1.9961, 0.0000], [8.7413, 1.9961, 0.0000], [-1.8466, 0.0000, 7.8414]], "species": ["Ho", "Ho", "Ho", "Pu", "Sc", "Sc", "Se", "Se", "Se", "Se", "Se", "Se"], "fractional_positions": [[0.0000, 0.0000, 0.0000], [0.3370, 0.3370, 0.6668], [0.6630, 0.6630, 0.3332], [0.0000, 0.0000, 0.5000], [0.3376, 0.3376, 0.1751], [0.6624, 0.6624, 0.8249], [0.1703, 0.1703, 0.5932], [0.1713, 0.1713, 0.0751], [0.4965, 0.4965, 0.2435], [0.5035, 0.5035, 0.7565], [0.8287, 0.8287, 0.9249], [0.8297, 0.8297, 0.4068]], "formation_energy_uncorrected_ev_per_fu": -19.91, "dos_ef_per_ev_cell": 8.227}


{"formula": "MnAgGe2", "functional": "PBE", "state": "relaxed", "cell": [[0.0000, 3.1439, 3.1439], [3.1439, 0.0000, 3.1439], [3.1439, 3.1439, 0.0000]], "species": ["Mn", "Ag", "Ge", "Ge"], "fractional_positions": [[0.0000, 0.0000, 0.0000], [0.5000, 0.5000, 0.5000], [0.2500, 0.2500, 0.2500], [0.7500, 0.7500, 0.7500]], "dos_ef_per_ev_cell": 4.313, "de_polymorph_mev_per_atom": 377.5, "delta_e_f_ev_per_atom": 0.511}